## LiBe2As (GGA-PBE)

Data for crystalline LiBe2As at its relaxed geometry. Values from VASP.

Geometry as Quantum ESPRESSO input:
```
&SYSTEM
  ibrav = 0, nat = 4, ntyp = 3
/
ATOMIC_SPECIES
As 74.92 As.upf
Be 9.01 Be.upf
Li 6.94 Li.upf
CELL_PARAMETERS angstrom
4.0154 0.0000 0.0000
0.0000 2.8106 -0.0255
0.0000 -0.7783 4.4570
ATOMIC_POSITIONS crystal
As 0.5000 0.7500 0.7500
Be 0.0000 0.8688 0.0349
Be 0.0000 0.6312 0.4651
Li 0.5000 0.2500 0.2500
```

Properties
- Crystal system: monoclinic
- E: -13.6 eV/f.u.
- Size of the total moment: 0.0 μB per formula unit
- Energy above the most stable polymorph in this dataset: 35 meV per atom
- Energy of formation: 0.11 eV per atom